{
  "formula": "Cs3Tl2Pb7",
  "functional": "PBE",
  "state": "relaxed",
  "lattice_angstrom": [[-6.8295, -1.7738, 0.6565], [-2.2189, -3.4808, 5.7602], [-4.9627, 7.5445, 7.0066]],
  "species": ["Cs", "Cs", "Cs", "Tl", "Tl", "Pb", "Pb", "Pb", "Pb", "Pb", "Pb", "Pb"],
  "fractional_positions": [[0.0000, 0.0000, 0.0000], [0.8574, 0.8574, 0.4279], [0.1426, 0.1426, 0.5721], [0.6652, 0.6652, 0.0045], [0.3348, 0.3348, 0.9955], [0.5000, 0.5000, 0.5000], [0.9100, 0.4223, 0.2454], [0.4223, 0.9100, 0.2454], [0.4223, 0.4223, 0.2454], [0.0900, 0.5777, 0.7546], [0.5777, 0.5777, 0.7546], [0.5777, 0.0900, 0.7546]],
  "formation_energy_ev_per_atom": -0.105,
  "space_group": "R-3m"
}


{
  "formula": "AsS5I",
  "functional": "PBE",
  "state": "relaxed",
  "lattice_angstrom": [[10.3162, 0.4391, -6.4116], [-0.1199, 6.0382, -3.3013], [-5.5090, -1.4352, 8.2849]],
  "species": ["As", "S", "S", "S", "S", "S", "I"],
  "fractional_positions": [[0.8152, 0.2825, 0.5469], [0.8435, 0.2277, 0.3320], [0.1378, 0.7601, 0.4450], [0.3279, 0.9386, 0.9135], [0.2359, 0.4950, 0.4229], [0.4321, 0.1387, 0.7894], [0.7384, 0.6881, 0.6116]],
  "space_group": "P1",
  "formation_energy_uncorrected_mev_per_atom": 72
}


{
  "formula": "NaCdPbAu2",
  "functional": "PBE",
  "state": "relaxed",
  "lattice_angstrom": [[-2.9319, -1.3499, -4.2137], [-0.5641, -5.1143, 2.0309], [-4.3914, 1.5061, 2.5730]],
  "species": ["Pb", "Na", "Au", "Au", "Cd"],
  "fractional_positions": [[0.0000, 0.5000, 0.0000], [0.5000, 0.5000, 0.5000], [0.0000, 0.0000, 0.5000], [0.5000, 0.0000, 0.0000], [0.0000, 0.0000, 0.0000]],
  "formation_energy_ev_per_atom": 0.247,
  "space_group": "P4/mmm"
}